No. 1
Material: CaTc2
Method: DFT, PBE-GGA
State: optimized geometry

Output
E_form	1.025	eV per atom
spin magnetization	1.324	Bohr magnetons per cell
density of states at the Fermi level	8.77	states/eV/cell

Lattice parameters (Å, degrees): 4.786 4.786 5.359 90.00 90.00 120.00
Element x y z (fractional)
Ca  0.333  0.667  0.250
Ca  0.667  0.333  0.750
Tc  0.000  0.000  0.000
Tc  0.000  0.000  0.500
Tc  0.333  0.667  0.750
Tc  0.667  0.333  0.250

No. 2
Material: CaTc3
Method: DFT, PBE-GGA
State: optimized geometry

Output
E_form	0.652	eV per atom
spin magnetization	0.000	Bohr magnetons per cell
density of states at the Fermi level	4.49	states/eV/cell

Lattice parameters (Å, degrees): 4.575 4.575 3.133 90.00 90.00 90.00
Element x y z (fractional)
Ca  0.000  0.000  0.000
Tc  0.000  0.500  0.500
Tc  0.500  0.000  0.500
Tc  0.500  0.500  0.000

No. 3
Material: Ca2Tc
Method: DFT, PBE-GGA
State: optimized geometry

Output
E_form	0.717	eV per atom
spin magnetization	2.681	Bohr magnetons per cell
density of states at the Fermi level	11.08	states/eV/cell

Lattice parameters (Å, degrees): 5.150 5.150 6.690 90.00 90.00 120.00
Element x y z (fractional)
Ca  0.000  0.000  0.000
Ca  0.000  0.000  0.500
Ca  0.333  0.667  0.250
Ca  0.667  0.333  0.750
Tc  0.333  0.667  0.750
Tc  0.667  0.333  0.250

No. 4
Material: CaTc4
Method: DFT, PBE-GGA
State: optimized geometry

Output
E_form	2.695	eV per atom
spin magnetization	1.191	Bohr magnetons per cell
density of states at the Fermi level	5.57	states/eV/cell

Lattice parameters (Å, degrees): 4.489 4.489 4.489 90.00 90.00 90.00
Element x y z (fractional)
Ca  0.000  0.000  0.000
Tc  0.000  0.000  0.500
Tc  0.000  0.500  0.000
Tc  0.500  0.000  0.000
Tc  0.500  0.500  0.500

No. 5
Material: CaTc3
Method: DFT, PBE-GGA
State: optimized geometry

Output
E_form	0.586	eV per atom
spin magnetization	0.000	Bohr magnetons per cell
density of states at the Fermi level	5.88	states/eV/cell

Lattice parameters (Å, degrees): 2.857 4.180 6.081 90.00 90.00 90.00
Element x y z (fractional)
Ca  0.000  0.000  0.000
Tc  0.000  0.500  0.344
Tc  0.500  0.000  0.499
Tc  0.500  0.500  0.724

No. 6
Material: CaTc2
Method: DFT, PBE-GGA
State: optimized geometry

Output
E_form	0.579	eV per atom
spin magnetization	0.000	Bohr magnetons per cell
density of states at the Fermi level	5.38	states/eV/cell

Lattice parameters (Å, degrees): 5.277 5.277 7.903 112.08 112.08 32.73
Element x y z (fractional)
Ca  0.000  0.000  0.000
Ca  0.632  0.632  0.378
Tc  0.315  0.315  0.683
Tc  0.325  0.325  0.230
Tc  0.679  0.679  0.826
Tc  0.974  0.974  0.574

No. 7
Material: Ca4Tc3
Method: DFT, PBE-GGA
State: optimized geometry

Output
E_form	0.471	eV per atom
spin magnetization	0.971	Bohr magnetons per cell
density of states at the Fermi level	7.83	states/eV/cell

Lattice parameters (Å, degrees): 5.467 5.467 6.200 90.00 90.00 120.00
Element x y z (fractional)
Ca  0.000  0.000  0.233
Ca  0.000  0.000  0.767
Ca  0.333  0.667  0.500
Ca  0.667  0.333  0.500
Tc  0.000  0.500  0.000
Tc  0.500  0.000  0.000
Tc  0.500  0.500  0.000

No. 8
Material: CaTc3
Method: DFT, PBE-GGA
State: optimized geometry

Output
E_form	0.566	eV per atom
spin magnetization	0.000	Bohr magnetons per cell
density of states at the Fermi level	3.94	states/eV/cell

Lattice parameters (Å, degrees): 5.369 5.369 5.369 117.25 117.25 117.25
Element x y z (fractional)
Ca  0.000  0.000  0.000
Tc  0.000  0.500  0.500
Tc  0.500  0.000  0.500
Tc  0.500  0.500  0.000

No. 9
Material: Ca3Tc4
Method: DFT, PBE-GGA
State: optimized geometry

Output
E_form	1.213	eV per atom
spin magnetization	0.000	Bohr magnetons per cell
density of states at the Fermi level	7.31	states/eV/cell

Lattice parameters (Å, degrees): 5.621 5.621 4.938 90.00 90.00 120.00
Element x y z (fractional)
Ca  0.000  0.500  0.000
Ca  0.500  0.000  0.000
Ca  0.500  0.500  0.000
Tc  0.000  0.000  0.250
Tc  0.000  0.000  0.750
Tc  0.333  0.667  0.500
Tc  0.667  0.333  0.500

No. 10
Material: Ca2Tc
Method: DFT, PBE-GGA
State: optimized geometry

Output
E_form	0.613	eV per atom
spin magnetization	0.000	Bohr magnetons per cell
density of states at the Fermi level	7.58	states/eV/cell

Lattice parameters (Å, degrees): 8.917 8.917 3.142 90.00 90.00 120.00
Element x y z (fractional)
Ca  0.000  0.298  0.000
Ca  0.000  0.632  0.500
Ca  0.298  0.000  0.000
Ca  0.368  0.368  0.500
Ca  0.632  0.000  0.500
Ca  0.702  0.702  0.000
Tc  0.000  0.000  0.500
Tc  0.333  0.667  0.000
Tc  0.667  0.333  0.000

No. 11
Material: Ca2Tc
Method: DFT, PBE-GGA
State: optimized geometry

Output
E_form	1.312	eV per atom
spin magnetization	4.794	Bohr magnetons per cell
density of states at the Fermi level	10.70	states/eV/cell

Lattice parameters (Å, degrees): 5.940 5.940 10.311 90.00 90.00 120.00
Element x y z (fractional)
Ca  0.000  0.000  0.000
Ca  0.000  0.000  0.500
Ca  0.177  0.354  0.250
Ca  0.177  0.823  0.250
Ca  0.354  0.177  0.750
Ca  0.646  0.823  0.250
Ca  0.823  0.177  0.750
Ca  0.823  0.646  0.750
Tc  0.333  0.667  0.509
Tc  0.333  0.667  0.991
Tc  0.667  0.333  0.009
Tc  0.667  0.333  0.491

No. 12
Material: Ca2Tc
Method: DFT, PBE-GGA
State: optimized geometry

Output
E_form	0.237	eV per atom
spin magnetization	0.000	Bohr magnetons per cell
density of states at the Fermi level	7.45	states/eV/cell

Lattice parameters (Å, degrees): 6.201 6.201 8.493 109.77 109.77 34.77
Element x y z (fractional)
Ca  0.011  0.011  0.198
Ca  0.326  0.326  0.359
Ca  0.674  0.674  0.641
Ca  0.989  0.989  0.802
Tc  0.298  0.298  0.965
Tc  0.702  0.702  0.035

Number 10 is which compound? Ca2Tc